No. 1
A plane-wave DFT calculation with PBE-GGA was carried out for a relaxed NaZrC2O6 crystal.

Results
SG   R-3
Energy   -76.480 eV for the cell shown
Total moment   0.967 μB/f.u.

Unit cell a=5.058 b=5.058 c=6.165 alpha=65.78 beta=65.78 gamma=60.00
Last column: magnetic moment on the atom in μB.
Sites, in units of the cell vectors:
Na (0.000, 0.000, 0.000)  0.00
Zr (0.500, 0.500, 0.500)  0.58
C (0.757, 0.757, 0.729)  0.08
C (0.243, 0.243, 0.271)  0.08
O (0.031, 0.518, 0.726)  0.00
O (0.725, 0.031, 0.726)  0.00
O (0.482, 0.275, 0.274)  0.00
O (0.969, 0.482, 0.274)  0.00
O (0.275, 0.969, 0.274)  0.00
O (0.518, 0.725, 0.726)  0.00

No. 2
A plane-wave DFT calculation with PBE-GGA was carried out for a relaxed NaZrCO5 crystal.

Results
SG   C2/c
Energy   -117.382 eV for the cell shown
Total moment   1.040 μB/f.u.

Unit cell a=5.473 b=5.473 c=7.518 alpha=106.38 beta=106.38 gamma=102.14
Last column: magnetic moment on the atom in μB.
Sites, in units of the cell vectors:
Na (0.340, 0.660, 0.250)  0.00
Na (0.660, 0.340, 0.750)  0.00
Zr (0.000, 0.000, 0.500)  -0.03
Zr (0.000, 0.000, 0.000)  -0.03
C (0.677, 0.323, 0.250)  -0.02
C (0.323, 0.677, 0.750)  -0.02
O (0.086, 0.914, 0.250)  0.09
O (0.914, 0.086, 0.750)  0.09
O (0.840, 0.302, 0.137)  0.20
O (0.160, 0.698, 0.863)  0.20
O (0.698, 0.160, 0.363)  0.20
O (0.302, 0.840, 0.637)  0.20
O (0.746, 0.587, 0.379)  0.22
O (0.254, 0.413, 0.621)  0.22
O (0.413, 0.254, 0.121)  0.22
O (0.587, 0.746, 0.879)  0.22

No. 3
A plane-wave DFT calculation with PBE-GGA was carried out for a relaxed Na2OsC crystal.

Results
SG   I-42d
Energy   -39.669 eV for the cell shown
ΔH_f (0 K)   0.814 eV/atom
Total moment   0.158 μB/f.u.

Unit cell a=10.460 b=10.460 c=7.640 alpha=46.80 beta=46.80 gamma=90.00
Last column: magnetic moment on the atom in μB.
Sites, in units of the cell vectors:
Na (0.388, 0.125, 0.250)  0.00
Na (0.362, 0.625, 0.250)  0.00
Na (0.375, 0.612, 0.750)  0.00
Na (0.875, 0.638, 0.750)  0.00
C (0.500, 0.500, 0.000)  -0.02
C (0.250, 0.750, 0.500)  -0.02
Os (0.000, 0.000, 0.000)  0.17
Os (0.750, 0.250, 0.500)  0.17

Copy entry 2 word for word.
A plane-wave DFT calculation with PBE-GGA was carried out for a relaxed NaZrCO5 crystal.

Results
SG   C2/c
Energy   -117.382 eV for the cell shown
Total moment   1.040 μB/f.u.

Unit cell a=5.473 b=5.473 c=7.518 alpha=106.38 beta=106.38 gamma=102.14
Last column: magnetic moment on the atom in μB.
Sites, in units of the cell vectors:
Na (0.340, 0.660, 0.250)  0.00
Na (0.660, 0.340, 0.750)  0.00
Zr (0.000, 0.000, 0.500)  -0.03
Zr (0.000, 0.000, 0.000)  -0.03
C (0.677, 0.323, 0.250)  -0.02
C (0.323, 0.677, 0.750)  -0.02
O (0.086, 0.914, 0.250)  0.09
O (0.914, 0.086, 0.750)  0.09
O (0.840, 0.302, 0.137)  0.20
O (0.160, 0.698, 0.863)  0.20
O (0.698, 0.160, 0.363)  0.20
O (0.302, 0.840, 0.637)  0.20
O (0.746, 0.587, 0.379)  0.22
O (0.254, 0.413, 0.621)  0.22
O (0.413, 0.254, 0.121)  0.22
O (0.587, 0.746, 0.879)  0.22

- total moment of number 2 (NaZrCO5)?
  1.040 μB/f.u.

- Look up the total moment of the third one.
  0.158 μB/f.u.

- Among the records above, which one has the lowest total moment?
  Na2OsC